No. 1
Material: Nb2TcC
Method: DFT, GGA-PBE
State: relaxed

Cell: 7.550 7.550 5.759 Å, 49.04 49.04 90.00°
Fractional positions:
Nb 0.499 0.125 0.250
Nb 0.375 0.501 0.750
Tc 0.750 0.250 0.500
Nb 0.251 0.625 0.250
C 0.500 0.500 0.000
C 0.250 0.750 0.500
Nb 0.875 0.749 0.750
Tc 0.000 0.000 0.000

Values from the calculation:
For the energy of formation from the pure elements, the calculation gives 0.109 eV per atom. For the total magnetic moment, the calculation gives 0.0 μB/f.u.

No. 2
Material: Tb6CeTm
Method: DFT, GGA-PBE
State: relaxed

Cell: 6.760 6.488 6.892 Å, 77.76 60.44 89.39°
Site moments in Bohr magnetons follow the coordinates.
Fractional positions:
Tb 0.905 0.233 0.523  0.04
Tb 0.577 0.730 0.519  0.05
Tb 0.554 0.751 0.998  0.03
Tm 0.000 0.000 0.000  0.08
Tb 0.095 0.767 0.477  0.04
Tb 0.423 0.270 0.481  0.05
Tb 0.446 0.249 0.002  0.03
Ce 0.000 0.500 0.000  0.76

Values from the calculation:
For the energy of formation from the pure elements, the calculation gives 0.220 eV per atom. For the total magnetic moment, the calculation gives 1.4 μB/f.u.